[1]
A plane-wave DFT calculation with PBE was carried out for a relaxed Ga2PtAu8 crystal.

Cell and atoms, written as POSCAR:
```
Ga2PtAu8
1.0
4.125 -5.510 0.000
4.125 5.510 0.000
-0.699 0.000 4.425
Ga Pt Au
2 1 8
Direct
0.136 0.864 0.000 Ga
0.864 0.136 0.000 Ga
0.500 0.500 0.500 Pt
0.162 0.162 0.430 Au
0.192 0.454 0.947 Au
0.251 0.749 0.500 Au
0.454 0.192 0.947 Au
0.546 0.808 0.053 Au
0.749 0.251 0.500 Au
0.808 0.546 0.053 Au
0.838 0.838 0.570 Au
```

DFT formation energy = -26 meV per atom
raw total energy = -38.599 eV/f.u.

[2]
A plane-wave DFT calculation with PBE was carried out for a relaxed LiLa4Mn crystal.

Cell and atoms, written as POSCAR:
```
LiLa4Mn
1.0
0.000 4.653 4.653
4.653 0.000 4.653
4.653 4.653 0.000
Li La Mn
1 4 1
Direct
0.000 0.000 0.000 Li
0.134 0.622 0.622 La
0.622 0.134 0.622 La
0.622 0.622 0.134 La
0.622 0.622 0.622 La
0.250 0.250 0.250 Mn
```

DFT formation energy = 603 meV per atom
raw total energy = -27.173 eV/f.u.

[3]
A plane-wave DFT calculation with PBE was carried out for a relaxed FeTeAsN2 crystal.

Cell and atoms, written as POSCAR:
```
FeTeAsN2
1.0
3.743 0.000 0.000
0.000 3.743 0.000
0.000 0.000 5.538
Fe Te As N
1 1 1 2
Direct
0.000 0.000 0.000 Fe
0.000 0.000 0.500 Te
0.500 0.500 0.500 As
0.000 0.500 0.000 N
0.500 0.000 0.000 N
```

offset from the most stable computed form = 0.0 meV/atom
raw formation energy = 1.05 eV/atom
raw total energy = -27.671 eV/f.u.

[4]
A plane-wave DFT calculation with PBE was carried out for a relaxed K5Na4Au4 crystal.

Cell and atoms, written as POSCAR:
```
K5Na4Au4
1.0
-6.705 6.705 2.443
6.705 -6.705 2.443
6.705 6.705 -2.443
K Na Au
5 4 4
Direct
0.000 0.000 0.000 K
0.296 0.371 0.667 K
0.371 0.704 0.075 K
0.629 0.296 0.925 K
0.704 0.629 0.333 K
0.107 0.581 0.688 Na
0.419 0.107 0.526 Na
0.581 0.893 0.474 Na
0.893 0.419 0.312 Na
0.061 0.257 0.317 Au
0.257 0.939 0.196 Au
0.743 0.061 0.804 Au
0.939 0.743 0.683 Au
```

DFT formation energy = -221 meV per atom
raw total energy = -26.751 eV/f.u.

[5]
A plane-wave DFT calculation with PBE was carried out for a relaxed TlCdF3 crystal.

Cell and atoms, written as POSCAR:
```
TlCdF3
1.0
0.000 5.812 5.812
5.812 0.000 5.812
5.812 5.812 0.000
Tl Cd F
4 4 12
Direct
0.000 0.000 0.000 Tl
0.000 0.000 0.500 Tl
0.000 0.500 0.000 Tl
0.500 0.000 0.000 Tl
0.000 0.500 0.500 Cd
0.500 0.000 0.500 Cd
0.500 0.500 0.000 Cd
0.500 0.500 0.500 Cd
0.167 0.167 0.583 F
0.167 0.583 0.167 F
0.167 0.583 0.583 F
0.417 0.417 0.833 F
0.417 0.833 0.417 F
0.417 0.833 0.833 F
0.583 0.167 0.167 F
0.583 0.167 0.583 F
0.583 0.583 0.167 F
0.833 0.417 0.417 F
0.833 0.417 0.833 F
0.833 0.833 0.417 F
```

raw formation energy = -2.01 eV/atom
raw total energy = -18.941 eV/f.u.

[6]
A plane-wave DFT calculation with PBE was carried out for a relaxed LiHg2I5 crystal.

Cell and atoms, written as POSCAR:
```
LiHg2I5
1.0
2.260 -9.756 0.000
2.260 9.756 0.000
0.000 0.000 16.295
Li Hg I
2 4 10
Direct
0.142 0.858 0.750 Li
0.858 0.142 0.250 Li
0.107 0.893 0.025 Hg
0.107 0.893 0.475 Hg
0.893 0.107 0.525 Hg
0.893 0.107 0.975 Hg
0.036 0.964 0.623 I
0.036 0.964 0.877 I
0.285 0.715 0.250 I
0.328 0.672 0.595 I
0.328 0.672 0.905 I
0.672 0.328 0.095 I
0.672 0.328 0.405 I
0.715 0.285 0.750 I
0.964 0.036 0.123 I
0.964 0.036 0.377 I
```

offset from the most stable computed form = 14.5 meV/atom
raw formation energy = -0.47 eV/atom
raw total energy = -14.001 eV/f.u.

[7]
A plane-wave DFT calculation with PBE was carried out for a relaxed TbPmEr2Th crystal.

Cell and atoms, written as POSCAR:
```
TbPmEr2Th
1.0
3.535 0.000 0.000
0.000 5.610 0.000
-0.010 0.000 8.668
Tb Pm Er Th
1 1 2 1
Direct
0.000 0.000 0.000 Tb
0.500 0.000 0.500 Pm
0.499 0.500 0.179 Er
0.501 0.500 0.821 Er
0.000 0.500 0.500 Th
```

DFT formation energy = 318 meV per atom
raw total energy = -24.336 eV/f.u.

[8]
A plane-wave DFT calculation with PBE was carried out for a relaxed AgSn2PbSe6 crystal.

Cell and atoms, written as POSCAR:
```
AgSn2PbSe6
1.0
6.805 -6.421 0.000
6.805 6.421 0.000
-1.762 0.000 6.935
Ag Sn Pb Se
2 4 2 12
Direct
0.228 0.772 0.750 Ag
0.772 0.228 0.250 Ag
0.118 0.276 0.755 Sn
0.276 0.118 0.255 Sn
0.724 0.882 0.745 Sn
0.882 0.724 0.245 Sn
0.382 0.618 0.250 Pb
0.618 0.382 0.750 Pb
0.039 0.218 0.064 Se
0.112 0.613 0.429 Se
0.218 0.039 0.564 Se
0.312 0.472 0.831 Se
0.387 0.888 0.071 Se
0.472 0.312 0.331 Se
0.528 0.688 0.669 Se
0.613 0.112 0.929 Se
0.688 0.528 0.169 Se
0.782 0.961 0.436 Se
0.888 0.387 0.571 Se
0.961 0.782 0.936 Se
```

raw formation energy = -0.25 eV/atom
raw total energy = -37.932 eV/f.u.

[9]
A plane-wave DFT calculation with PBE was carried out for a relaxed RbYPIr2 crystal.

Cell and atoms, written as POSCAR:
```
RbYPIr2
1.0
4.790 0.000 0.000
0.000 4.790 0.000
0.000 0.000 5.362
Rb Y P Ir
1 1 1 2
Direct
0.000 0.000 0.000 Rb
0.000 0.000 0.500 Y
0.500 0.500 0.500 P
0.000 0.500 0.000 Ir
0.500 0.000 0.000 Ir
```

DFT formation energy = 2404 meV per atom
raw total energy = -18.543 eV/f.u.

[10]
A plane-wave DFT calculation with PBE was carried out for a relaxed BaCu2BS4 crystal.

Cell and atoms, written as POSCAR:
```
BaCu2BS4
1.0
-3.086 3.086 4.003
3.086 -3.086 4.003
3.086 3.086 -4.003
Ba Cu B S
1 2 1 4
Direct
0.000 0.000 0.000 Ba
0.250 0.750 0.500 Cu
0.750 0.250 0.500 Cu
0.500 0.500 0.000 B
0.178 0.178 0.643 S
0.465 0.822 0.000 S
0.535 0.535 0.357 S
0.822 0.465 0.000 S
```

raw formation energy = -0.72 eV/atom
raw total energy = -39.078 eV/f.u.